Ac2PrCrO8 | Alexandria via LeMat-Bulk | PBE with a Hubbard U | relaxed; E = -85.737 eV per cell
1.0
5.564 0.000 0.000
-2.782 4.819 0.000
0.000 0.000 6.464
O Pr Cr Ac
8 1 1 2
Cartesian
-1.476 4.065 1.107
1.476 4.065 1.107
0.000 1.508 1.107
1.306 0.754 5.357
2.782 3.311 5.357
0.000 3.213 3.386
4.258 0.754 5.357
2.782 1.606 3.078
0.000 0.000 3.232
0.000 0.000 0.000
0.000 3.213 5.570
2.782 1.606 0.894